! NaMn2F PBE with a Hubbard U relaxed; values from VASP
! energy relative to the lowest polymorph listed for this composition	414	meV/atom
! E	-4.38	eV per atom
! total magnetic moment	9.97	μB per formula unit
! DOS at the Fermi energy	1.90	states/eV/cell
&SYSTEM
  ibrav = 0, nat = 4, ntyp = 3
/
ATOMIC_SPECIES
Na 22.99 Na.upf
Mn 54.94 Mn.upf
F 19.00 F.upf
ATOMIC_POSITIONS crystal
Na 0.500 0.500 0.500
Mn 0.250 0.250 0.250
Mn 0.750 0.750 0.750
F 0.000 0.000 0.000
CELL_PARAMETERS angstrom
-4.815 -0.417 1.198
-3.350 -1.121 -3.509
-2.190 -4.472 -0.012